No. 1
# CuIr3Pb meta-GGA SCAN PBEsol geometry
data_CuIr3Pb
_chemical_formula_sum 'Cu1 Ir3 Pb1'
_cell_length_a 4.4854
_cell_length_b 4.4854
_cell_length_c 4.4854
_cell_angle_alpha 90.00
_cell_angle_beta 90.00
_cell_angle_gamma 90.00
_space_group_name_H-M_alt 'P 1'
_space_group_IT_number 1
loop_
_space_group_symop_operation_xyz
'x,y,z'
loop_
_atom_site_label
_atom_site_fract_x
_atom_site_fract_y
_atom_site_fract_z
_atom_site_occupancy
Cu1 0.0000 0.0000 0.0000 1
Ir1 0.0000 0.0000 0.5000 1
Ir2 0.0000 0.5000 0.0000 1
Ir3 0.5000 0.0000 0.0000 1
Pb1 0.5000 0.5000 0.5000 1
# **Excess energy over the best structure of this formula in the dataset**: 0 meV per atom
# **E_form**: 1.4883 eV/atom

***

No. 2
# CuIr2Pb meta-GGA SCAN PBEsol geometry
data_CuIr2Pb
_chemical_formula_sum 'Cu1 Ir2 Pb1'
_cell_length_a 2.9132
_cell_length_b 4.5917
_cell_length_c 4.7370
_cell_angle_alpha 90.00
_cell_angle_beta 90.00
_cell_angle_gamma 90.00
_space_group_name_H-M_alt 'P 1'
_space_group_IT_number 1
loop_
_space_group_symop_operation_xyz
'x,y,z'
loop_
_atom_site_label
_atom_site_fract_x
_atom_site_fract_y
_atom_site_fract_z
_atom_site_occupancy
Cu1 0.0000 0.0000 0.0000 1
Ir1 0.0000 0.5000 0.5000 1
Ir2 0.5000 0.5000 0.0000 1
Pb1 0.5000 0.0000 0.5000 1
# **E_form**: 0.6005 eV/atom

***

No. 3
# CuIr2Pb meta-GGA SCAN PBEsol geometry
data_CuIr2Pb
_chemical_formula_sum 'Cu1 Ir2 Pb1'
_cell_length_a 5.3933
_cell_length_b 5.3933
_cell_length_c 5.3933
_cell_angle_alpha 148.99
_cell_angle_beta 128.38
_cell_angle_gamma 61.45
_space_group_name_H-M_alt 'P 1'
_space_group_IT_number 1
loop_
_space_group_symop_operation_xyz
'x,y,z'
loop_
_atom_site_label
_atom_site_fract_x
_atom_site_fract_y
_atom_site_fract_z
_atom_site_occupancy
Cu1 0.0000 0.0000 0.0000 1
Ir1 0.2307 0.7307 0.5000 1
Ir2 0.7693 0.2693 0.5000 1
Pb1 0.5000 0.5000 0.0000 1
# **E_form**: 0.5189 eV/atom

***

No. 4
# CuIrPd2 meta-GGA SCAN PBEsol geometry
data_CuIrPd2
_chemical_formula_sum 'Cu1 Ir1 Pd2'
_cell_length_a 4.2868
_cell_length_b 4.2868
_cell_length_c 4.2868
_cell_angle_alpha 60.00
_cell_angle_beta 60.00
_cell_angle_gamma 60.00
_space_group_name_H-M_alt 'P 1'
_space_group_IT_number 1
loop_
_space_group_symop_operation_xyz
'x,y,z'
loop_
_atom_site_label
_atom_site_fract_x
_atom_site_fract_y
_atom_site_fract_z
_atom_site_occupancy
Cu1 0.0000 0.0000 0.0000 1
Ir1 0.5000 0.5000 0.5000 1
Pd1 0.2500 0.2500 0.2500 1
Pd2 0.7500 0.7500 0.7500 1
# **E_form**: 0.2919 eV/atom